# 1
DFT (PBE-GGA) results for an optimized crystal structure of HoB2IrRh.

The structure in CIF format:
```
data_HoB2IrRh
_symmetry_space_group_name_H-M 'I -4 m 2'
_symmetry_Int_Tables_number 119
_symmetry_space_group_name_Hall 'I -4 -2'
_cell_length_a 3.841
_cell_length_b 3.841
_cell_length_c 9.274
_cell_angle_alpha 90.00
_cell_angle_beta 90.00
_cell_angle_gamma 90.00
loop_
_atom_site_label
_atom_site_type_symbol
_atom_site_fract_x
_atom_site_fract_y
_atom_site_fract_z
Ho1 Ho 0.000 0.000 0.000
B1 B 0.000 0.000 0.363
Ir1 Ir 0.000 0.500 0.750
Rh1 Rh 0.000 0.500 0.250
```

Properties
E_form, eV per atom: -0.689
Spin magnetization, Bohr magnetons per cell: 0.0
DOS at the Fermi energy, states/eV/f.u.: 0.98

---

# 2
DFT (PBE-GGA) results for an optimized crystal structure of CoMoPt2.

The structure in CIF format:
```
data_CoMoPt2
_symmetry_space_group_name_H-M 'R 3 m'
_symmetry_Int_Tables_number 160
_symmetry_space_group_name_Hall 'R 3 -2"'
_cell_length_a 2.7411
_cell_length_b 2.7411
_cell_length_c 26.9347
_cell_angle_alpha 90.00
_cell_angle_beta 90.00
_cell_angle_gamma 120.00
loop_
_atom_site_label
_atom_site_type_symbol
_atom_site_fract_x
_atom_site_fract_y
_atom_site_fract_z
Co1 Co 0.0000 0.0000 0.0000
Mo1 Mo 0.0000 0.0000 0.2556
Pt1 Pt 0.0000 0.0000 0.5037
Pt2 Pt 0.0000 0.0000 0.7459
```

Properties
E_form, eV per atom: -0.061
Spin magnetization, Bohr magnetons per cell: 4.8
DOS at the Fermi energy, states/eV/f.u.: 4.68